Record 1
Entry from the Alexandria database: a relaxed structure of YTa2NbC4 (PBE).

Calculated values
- ΔH_f (0 K) (eV per atom) = -0.248

Cell: 3.237 11.432 11.614 Å, 90.00 90.00 90.00°
Space group Cmcm (No. 63)
Asymmetric unit:
Y 0.000 0.135 0.250
Ta 0.000 0.369 0.028
Nb 0.000 0.136 0.750
C 0.000 0.000 0.000
C 0.000 0.254 0.611
C 0.000 0.474 0.250



Record 2
Entry from the Alexandria database: a relaxed structure of LaSc4Te (PBE).

Calculated values
- energy relative to the elements, uncorrected (meV per atom) = 61

Cell: 8.756 8.756 8.756 Å, 90.00 90.00 90.00°
Space group F-43m (No. 216)
Asymmetric unit:
La 0.000 0.000 0.000
Sc 0.127 0.127 0.627
Te 0.250 0.250 0.250



Record 3
Entry from the Alexandria database: a relaxed structure of LiErTmBe (PBE).

Calculated values
- ΔH_f (0 K) (eV per atom) = 0.127

Cell: 6.969 6.969 6.969 Å, 90.00 90.00 90.00°
Space group F-43m (No. 216)
Asymmetric unit:
Li 0.000 0.000 0.000
Er 0.250 0.250 0.750
Tm 0.250 0.250 0.250
Be 0.000 0.000 0.500



Magnetization, respectively: 0.00; 0.44; 0.00 μB per atom.